Entry 1:
The following is a DFT calculation (GGA-PBE) of Sc2AlPt after structural relaxation. Values from VASP.

```
&SYSTEM
  ibrav = 0, nat = 12, ntyp = 3
/
ATOMIC_SPECIES
Sc 44.96 Sc.upf
Al 26.98 Al.upf
Pt 195.08 Pt.upf
CELL_PARAMETERS angstrom
3.3527 0.0000 0.0000
-1.6764 2.9035 0.0000
0.0000 0.0000 25.2498
ATOMIC_POSITIONS crystal
Sc 0.0000 0.0000 0.2424
Sc 0.0000 0.0000 0.7576
Sc 0.3333 0.6667 0.4243
Sc 0.3333 0.6667 0.9091
Sc 0.6667 0.3333 0.0909
Sc 0.6667 0.3333 0.5757
Al 0.0000 0.0000 0.0000
Al 0.3333 0.6667 0.6667
Al 0.6667 0.3333 0.3333
Pt 0.0000 0.0000 0.5000
Pt 0.3333 0.6667 0.1667
Pt 0.6667 0.3333 0.8333
```

Computed properties:
symmetry	No. 166
formation energy	-0.55	eV/atom
electronic total energy	-0.2263	Ha/atom

=====

Entry 2:
The following is a DFT calculation (GGA-PBE) of Tm12Sb5C2 after structural relaxation. Values from VASP.

```
&SYSTEM
  ibrav = 0, nat = 19, ntyp = 3
/
ATOMIC_SPECIES
Tm 168.93 Tm.upf
Sb 121.76 Sb.upf
C 12.01 C.upf
CELL_PARAMETERS angstrom
8.2569 -3.7260 0.0000
8.2569 3.7260 0.0000
-2.6965 0.0000 8.6488
ATOMIC_POSITIONS crystal
Tm 0.0008 0.0008 0.1720
Tm 0.0909 0.6072 0.9206
Tm 0.1239 0.5974 0.4431
Tm 0.3928 0.9091 0.0794
Tm 0.4026 0.8761 0.5569
Tm 0.4949 0.4949 0.8121
Tm 0.5051 0.5051 0.1879
Tm 0.5974 0.1239 0.4431
Tm 0.6072 0.0909 0.9206
Tm 0.8761 0.4026 0.5569
Tm 0.9091 0.3928 0.0794
Tm 0.9992 0.9992 0.8280
Sb 0.0000 0.0000 0.5000
Sb 0.2916 0.2916 0.6495
Sb 0.3137 0.3137 0.1570
Sb 0.6863 0.6863 0.8430
Sb 0.7084 0.7084 0.3505
C 0.2544 0.7456 0.0000
C 0.7456 0.2544 0.0000
```

Computed properties:
formation energy from raw total energies	-0.546	eV/atom
symmetry	No. 12
electronic total energy	-0.1994	Ha/atom